VASP calculation (PBE) on a relaxed EuHoPt crystal.

```
EuHoPt
1.0
4.1609 0.0000 0.0000
-2.0804 3.6034 0.0000
0.0000 0.0000 6.4307
Eu Ho Pt
1 1 1
Cartesian
0.0000 0.0000 0.0000
2.0804 1.2011 3.3311
0.0000 2.4023 4.6810
```

Output
energy of formation from the pure elements	-70.8	kJ/mol of atoms
energy	-7.6978	eV per atom
space-group type	P3m1, No. 156
density of states at the Fermi level	10.0	states/eV/cell
crystal system	trigonal
excess energy over the best structure of this formula in the dataset	21	meV per atom